Entry 1:
This record from Alexandria via LeMat-Bulk describes a geometry-optimized EuDyEr structure. The functional is GGA-PBE.

Its energy is -19.3 eV/cell. For the excess energy over the best structure of this formula in the dataset, the calculation gives 0 meV per atom. As for the density of states at the Fermi level: 1.190 states/eV/atom.

It has space group P3m1 (No. 156), with a = 3.6171 Å, b = 3.6171 Å, c = 8.8744 Å, α = 90.00°, β = 90.00° and γ = 120.00°. The distinct sites, in fractional coordinates, are Eu at (0.0000, 0.0000, 0.0000), Dy at (0.3333, 0.6667, 0.6530) and Er at (0.6667, 0.3333, 0.3438).


Entry 2:
This record from Alexandria via LeMat-Bulk describes a geometry-optimized Eu2DyEr structure. The functional is GGA-PBE.

Its energy is -29.2 eV/cell. For the excess energy over the best structure of this formula in the dataset, the calculation gives 0 meV per atom. As for the density of states at the Fermi level: 1.263 states/eV/atom.

It has space group P4/mmm (No. 123), with a = 3.650 Å, b = 3.650 Å, c = 10.455 Å, α = 90.00°, β = 90.00° and γ = 90.00°. The distinct sites, in fractional coordinates, are Eu at (0.000, 0.000, 0.249), Dy at (0.500, 0.500, 0.500) and Er at (0.500, 0.500, 0.000).


Entry 3:
This record from Alexandria via LeMat-Bulk describes a geometry-optimized Eu2DyEr structure. The functional is GGA-PBE.

Its energy is -116.1 eV/cell. For the excess energy over the best structure of this formula in the dataset, the calculation gives 46 meV per atom. As for the density of states at the Fermi level: 1.371 states/eV/atom.

It has space group Fm-3m (No. 225), with a = 8.235 Å, b = 8.235 Å, c = 8.235 Å, α = 90.00°, β = 90.00° and γ = 90.00°. The distinct sites, in fractional coordinates, are Eu at (0.250, 0.250, 0.250), Dy at (0.000, 0.000, 0.000) and Er at (0.000, 0.000, 0.500).


Entry 4:
This record from Alexandria via LeMat-Bulk describes a geometry-optimized EuDyEr structure. The functional is GGA-PBE.

Its energy is -38.5 eV/cell. For the excess energy over the best structure of this formula in the dataset, the calculation gives 2 meV per atom. As for the density of states at the Fermi level: 1.336 states/eV/atom.

It has space group I4mm (No. 107), with a = 3.623 Å, b = 3.623 Å, c = 15.414 Å, α = 90.00°, β = 90.00° and γ = 90.00°. The distinct sites, in fractional coordinates, are Eu at (0.000, 0.000, 0.000), Dy at (0.000, 0.000, 0.676) and Er at (0.000, 0.000, 0.325).


Entry 5:
This record from Alexandria via LeMat-Bulk describes a geometry-optimized Eu2DyEr structure. The functional is GGA-PBE.

Its energy is -86.2 eV/cell. For the excess energy over the best structure of this formula in the dataset, the calculation gives 117 meV per atom. As for the density of states at the Fermi level: 1.500 states/eV/atom.

It has space group R-3m (No. 166, hexagonal axes), with a = 3.5641 Å, b = 3.5641 Å, c = 38.5507 Å, α = 90.00°, β = 90.00° and γ = 120.00°. The distinct sites, in fractional coordinates, are Eu at (0.0000, 0.0000, 0.0871), Dy at (0.0000, 0.0000, 0.5000) and Er at (0.0000, 0.0000, 0.0000).


Entry 6:
This record from Alexandria via LeMat-Bulk describes a geometry-optimized Eu2DyEr structure. The functional is GGA-PBE.

Its energy is -29.0 eV/cell. For the excess energy over the best structure of this formula in the dataset, the calculation gives 47 meV per atom. As for the density of states at the Fermi level: 1.480 states/eV/atom.

It has space group P4/mmm (No. 123), with a = 5.831 Å, b = 5.831 Å, c = 4.114 Å, α = 90.00°, β = 90.00° and γ = 90.00°. The distinct sites, in fractional coordinates, are Eu at (0.000, 0.500, 0.000), Dy at (0.000, 0.000, 0.500) and Er at (0.500, 0.500, 0.500).


Entry 7:
This record from Alexandria via LeMat-Bulk describes a geometry-optimized EuDyHoEr structure. The functional is GGA-PBE.

Its energy is -93.4 eV/cell. As for the density of states at the Fermi level: 1.851 states/eV/atom.

It has space group F-43m (No. 216), with a = 8.079 Å, b = 8.079 Å, c = 8.079 Å, α = 90.00°, β = 90.00° and γ = 90.00°. The distinct sites, in fractional coordinates, are Eu at (0.000, 0.000, 0.000), Dy at (0.250, 0.250, 0.250), Ho at (0.250, 0.250, 0.750) and Er at (0.000, 0.000, 0.500).


Entry 8:
This record from Alexandria via LeMat-Bulk describes a geometry-optimized LaEuDyEr structure. The functional is GGA-PBE.

Its energy is -95.2 eV/cell. As for the density of states at the Fermi level: 1.590 states/eV/atom.

It has space group F-43m (No. 216), with a = 8.230 Å, b = 8.230 Å, c = 8.230 Å, α = 90.00°, β = 90.00° and γ = 90.00°. The distinct sites, in fractional coordinates, are La at (0.000, 0.000, 0.000), Eu at (0.250, 0.250, 0.750), Dy at (0.000, 0.000, 0.500) and Er at (0.250, 0.250, 0.250).


Entry 9:
This record from Alexandria via LeMat-Bulk describes a geometry-optimized LiEuDyEr structure. The functional is GGA-PBE.

Its energy is -82.1 eV/cell. As for the density of states at the Fermi level: 1.064 states/eV/atom.

It has space group F-43m (No. 216), with a = 7.916 Å, b = 7.916 Å, c = 7.916 Å, α = 90.00°, β = 90.00° and γ = 90.00°. The distinct sites, in fractional coordinates, are Li at (0.000, 0.000, 0.000), Eu at (0.250, 0.250, 0.750), Dy at (0.250, 0.250, 0.250) and Er at (0.000, 0.000, 0.500).


Entry 10:
This record from Alexandria via LeMat-Bulk describes a geometry-optimized EuDyErLu structure. The functional is GGA-PBE.

Its energy is -93.1 eV/cell. As for the density of states at the Fermi level: 1.976 states/eV/atom.

It has space group F-43m (No. 216), with a = 8.038 Å, b = 8.038 Å, c = 8.038 Å, α = 90.00°, β = 90.00° and γ = 90.00°. The distinct sites, in fractional coordinates, are Eu at (0.000, 0.000, 0.000), Dy at (0.250, 0.250, 0.250), Er at (0.000, 0.000, 0.500) and Lu at (0.250, 0.250, 0.750).


Entry 11:
This record from Alexandria via LeMat-Bulk describes a geometry-optimized PmEuDyEr structure. The functional is GGA-PBE.

Its energy is -94.3 eV/cell. As for the density of states at the Fermi level: 1.821 states/eV/atom.

It has space group F-43m (No. 216), with a = 8.149 Å, b = 8.149 Å, c = 8.149 Å, α = 90.00°, β = 90.00° and γ = 90.00°. The distinct sites, in fractional coordinates, are Pm at (0.000, 0.000, 0.000), Eu at (0.000, 0.000, 0.500), Dy at (0.250, 0.250, 0.750) and Er at (0.250, 0.250, 0.250).


Entry 12:
This record from Alexandria via LeMat-Bulk describes a geometry-optimized PrEuDyEr structure. The functional is GGA-PBE.

Its energy is -94.5 eV/cell. As for the density of states at the Fermi level: 1.709 states/eV/atom.

It has space group F-43m (No. 216), with a = 8.190 Å, b = 8.190 Å, c = 8.190 Å, α = 90.00°, β = 90.00° and γ = 90.00°. The distinct sites, in fractional coordinates, are Pr at (0.000, 0.000, 0.000), Eu at (0.000, 0.000, 0.500), Dy at (0.250, 0.250, 0.250) and Er at (0.250, 0.250, 0.750).


Entry 13:
This record from Alexandria via LeMat-Bulk describes a geometry-optimized EuDyErSc structure. The functional is GGA-PBE.

Its energy is -100.3 eV/cell. As for the density of states at the Fermi level: 1.815 states/eV/atom.

It has space group F-43m (No. 216), with a = 7.903 Å, b = 7.903 Å, c = 7.903 Å, α = 90.00°, β = 90.00° and γ = 90.00°. The distinct sites, in fractional coordinates, are Eu at (0.000, 0.000, 0.000), Dy at (0.000, 0.000, 0.500), Er at (0.250, 0.250, 0.250) and Sc at (0.250, 0.250, 0.750).


Number 1: energy of formation from the pure elements 0.06 eV per atom. Number 2: energy of formation from the pure elements 0.13 eV per atom. Number 3: energy of formation from the pure elements 0.17 eV per atom. Number 4: energy of formation from the pure elements 0.06 eV per atom. Number 5: energy of formation from the pure elements 0.24 eV per atom. Number 6: energy of formation from the pure elements 0.17 eV per atom. Number 7: energy of formation from the pure elements 0.17 eV per atom. Number 8: energy of formation from the pure elements 0.14 eV per atom. Number 9: energy of formation from the pure elements 0.21 eV per atom. Number 10: energy of formation from the pure elements 0.17 eV per atom. Number 11: energy of formation from the pure elements 0.15 eV per atom. Number 12: energy of formation from the pure elements 0.15 eV per atom. Number 13: energy of formation from the pure elements 0.18 eV per atom.